The following is a DFT calculation (PBEsol) of an optimized crystal structure of Ta3In.

Values from the calculation:
Space-group type: No. 123
Crystal system: tetragonal
Energy of formation, eV/atom: 0.024

Lattice parameters (Å, degrees): 3.4058 3.4058 6.3105 90.00 90.00 90.00
Fractional coordinates of all 4 atoms:
Ta  0.0000  0.0000  0.0000
Ta  0.5000  0.5000  0.2312
Ta  0.5000  0.5000  0.7688
In  0.0000  0.0000  0.5000